Here is crystalline IrSF at its relaxed geometry from the Alexandria database. Energies are from GGA-PBE.

Summary:
- raw formation energy (eV/atom) = -0.431
- relative energy among the computed polymorphs (meV per atom) = 390

Cell lengths 4.7700, 2.7846, 7.1804 Å; angles 90.00, 108.80, 90.00 degrees
Positions (direct):
Ir 0.0000 0.0000 0.0000
Ir 0.5000 0.5000 0.0000
S 0.1539 0.0000 0.3172
S 0.6539 0.5000 0.3172
F 0.3606 0.5000 0.7129
F 0.8606 0.0000 0.7129

---

Here is crystalline La2ErPt at its relaxed geometry from the Alexandria database. Energies are from GGA-PBE.

Summary:
- ΔE_f (eV/atom) = -0.49
- relative energy among the computed polymorphs (meV per atom) = 0

Cell lengths 3.7868, 3.7868, 8.1651 Å; angles 90.00, 90.00, 90.00 degrees
Positions (direct):
La 0.0000 0.0000 0.2055
La 0.0000 0.0000 0.7945
Er 0.5000 0.5000 0.5000
Pt 0.5000 0.5000 0.0000

---

Here is crystalline NdEr2Tm4Th at its relaxed geometry from the Alexandria database. Energies are from GGA-PBE.

Summary:
- ΔE_f (eV/atom) = 0.03

Cell lengths 5.0211, 5.0342, 9.8720 Å; angles 90.00, 90.00, 90.00 degrees
Positions (direct):
Nd 0.0000 0.0000 0.0000
Er 0.0000 0.0000 0.5000
Er 0.5000 0.5000 0.0000
Tm 0.0000 0.5000 0.2532
Tm 0.0000 0.5000 0.7468
Tm 0.5000 0.0000 0.2537
Tm 0.5000 0.0000 0.7463
Th 0.5000 0.5000 0.5000

---

Here is crystalline PmNiBi2 at its relaxed geometry from the Alexandria database. Energies are from GGA-PBE.

Summary:
- ΔE_f (eV/atom) = -0.19
- relative energy among the computed polymorphs (meV per atom) = 0

Cell lengths 4.8363, 4.8363, 4.2969 Å; angles 90.00, 90.00, 90.00 degrees
Positions (direct):
Pm 0.0000 0.0000 0.0000
Ni 0.5000 0.5000 0.0000
Bi 0.0000 0.5000 0.5000
Bi 0.5000 0.0000 0.5000

---

Here is crystalline Tb2P2Ir5 at its relaxed geometry from the Alexandria database. Energies are from GGA-PBE.

Summary:
- ΔE_f (eV/atom) = -0.86

Cell lengths 4.1123, 4.1123, 8.7709 Å; angles 90.00, 90.00, 90.00 degrees
Positions (direct):
Tb 0.0000 0.0000 0.0000
Tb 0.0000 0.0000 0.5000
P 0.5000 0.5000 0.1349
P 0.5000 0.5000 0.8651
Ir 0.0000 0.5000 0.2602
Ir 0.0000 0.5000 0.7398
Ir 0.5000 0.0000 0.2602
Ir 0.5000 0.0000 0.7398
Ir 0.5000 0.5000 0.5000

---

Here is crystalline NbPtI3 at its relaxed geometry from the Alexandria database. Energies are from GGA-PBE.

Summary:
- raw formation energy (eV/atom) = 0.796
- relative energy among the computed polymorphs (meV per atom) = 0

Cell lengths 5.4516, 5.4516, 5.4516 Å; angles 90.00, 90.00, 90.00 degrees
Positions (direct):
Nb 0.0000 0.0000 0.0000
Pt 0.5000 0.5000 0.5000
I 0.0000 0.5000 0.5000
I 0.5000 0.0000 0.5000
I 0.5000 0.5000 0.0000